(1)
# K2TcCl6

K2TcCl6 after structural relaxation (GGA-PBEsol, Alexandria via LeMat-Bulk). Values from VASP.

Quantum ESPRESSO input file:
```
&SYSTEM
  ibrav = 0, nat = 9, ntyp = 3
/
ATOMIC_SPECIES
Cl 35.45 Cl.upf
K 39.10 K.upf
Tc 98.00 Tc.upf
CELL_PARAMETERS angstrom
6.8777 0.0000 0.0000
3.4389 5.9563 0.0000
3.4389 1.9854 5.6156
ATOMIC_POSITIONS angstrom
Cl 6.8777 1.9091 1.3499
Cl 6.8777 6.0326 4.2657
Cl 8.6633 5.0017 1.3499
Cl 5.0922 2.9400 4.2657
Cl 8.6633 2.9400 4.2657
Cl 5.0922 5.0017 1.3499
K 3.4389 1.9854 1.4039
K 10.3166 5.9563 4.2117
Tc 0.0000 0.0000 0.0000
```

Properties
ΔE_f (raw): -1320 meV/atom
Space group: Fm-3m
Raw total energy: -4.16 eV per atom
Total moment: 3.00 μB/f.u.
Crystal system: cubic

---

(2)
# CeCo4B

CeCo4B after structural relaxation (GGA-PBEsol, Alexandria via LeMat-Bulk). Values from VASP.

Quantum ESPRESSO input file:
```
&SYSTEM
  ibrav = 0, nat = 12, ntyp = 3
/
ATOMIC_SPECIES
Co 58.93 Co.upf
B 10.81 B.upf
Ce 140.12 Ce.upf
CELL_PARAMETERS angstrom
4.8983 0.0000 0.0000
-2.4492 4.2421 0.0000
0.0000 0.0000 6.8222
ATOMIC_POSITIONS angstrom
Co 1.2246 2.1210 1.9632
Co 2.4492 0.0000 4.8590
Co 1.2246 2.1210 4.8590
Co 2.4492 1.4140 0.0000
Co -1.2246 2.1210 4.8590
Co 0.0000 2.8281 0.0000
Co -1.2246 2.1210 1.9632
Co 2.4492 0.0000 1.9632
B 2.4492 1.4140 3.4111
B 0.0000 2.8281 3.4111
Ce 0.0000 0.0000 3.4111
Ce 0.0000 0.0000 0.0000
```

Properties
Space group: P6/mmm
ΔE_f: -0.33 eV per atom
Raw total energy: -7.76 eV per atom
Total moment: 2.16 μB/f.u.
Crystal system: hexagonal